Entry 1:
Density functional theory data (PBE) for an optimized crystal structure of Pa3Cd5N12.

```
data_Pa3Cd5N12
_cell_length_a 14.017
_cell_length_b 14.017
_cell_length_c 14.017
_cell_angle_alpha 90.00
_cell_angle_beta 90.00
_cell_angle_gamma 90.00
_symmetry_space_group_name_H-M 'I a -3 d'
_symmetry_Int_Tables_number 230
_symmetry_space_group_name_Hall '-I 4bd 2c 3'
loop_
_atom_site_label
_atom_site_fract_x
_atom_site_fract_y
_atom_site_fract_z
Pa1 0.000 0.250 0.125
Cd1 0.000 0.000 0.000
Cd2 0.000 0.250 0.375
N1 0.003 0.098 0.693
```

Summary:
The calculation puts the spin magnetization at 0.0000 μB per atom. As for the uncorrected formation energy: -0.022 eV/atom.



Entry 2:
Density functional theory data (PBE) for an optimized crystal structure of Ca2ScP.

```
data_Ca2ScP
_cell_length_a 3.525
_cell_length_b 3.525
_cell_length_c 8.929
_cell_angle_alpha 90.00
_cell_angle_beta 90.00
_cell_angle_gamma 90.00
_symmetry_space_group_name_H-M 'P 4 m m'
_symmetry_Int_Tables_number 99
_symmetry_space_group_name_Hall 'P 4 -2'
loop_
_atom_site_label
_atom_site_fract_x
_atom_site_fract_y
_atom_site_fract_z
Ca1 0.000 0.000 0.000
Ca2 0.500 0.500 0.354
Sc1 0.500 0.500 0.694
P1 0.000 0.000 0.576
```

Summary:
The formation energy from the elements is -0.52 eV/atom. The calculation puts the spin magnetization at 0.0000 μB per atom.